This record from Alexandria describes a geometry-optimized CsTlS structure. The functional is GGA-PBE.

Values from the calculation:
formation energy without anion corrections = -0.743 eV per atom
theoretical density = 5358 kg/m³
DFT total energy = -3.19 eV/atom
offset from the most stable computed form = 0 meV/atom
crystal system = orthorhombic

Geometry as POSCAR:
```
CsTlS
1.0
8.358 0.000 0.000
0.000 4.307 0.000
0.000 0.000 12.720
Cs Tl S
4 4 4
Cartesian
0.301 1.077 2.607
3.879 3.230 8.966
4.480 1.077 3.753
8.058 3.230 10.113
1.536 3.230 5.870
2.643 1.077 12.229
5.716 3.230 0.490
6.822 1.077 6.850
1.218 1.077 7.775
2.961 3.230 1.415
5.397 1.077 11.304
7.140 3.230 4.944
```

***

This record from Alexandria describes a geometry-optimized Ba2Sr7 structure. The functional is GGA-PBE.

Values from the calculation:
energy of formation = 2.68 kJ/mol of atoms
theoretical density = 2910 kg/m³
DFT total energy = -1.71 eV/atom
offset from the most stable computed form = 24 meV/atom
crystal system = hexagonal

Geometry as POSCAR:
```
Ba2Sr7
1.0
11.859 0.000 0.000
-5.929 10.270 0.000
0.000 0.000 4.160
Ba Sr
2 7
Cartesian
0.000 6.847 0.000
5.929 3.423 0.000
0.000 0.000 2.080
-1.835 3.178 0.000
-3.843 6.656 2.080
3.669 0.000 0.000
2.086 3.614 2.080
7.686 0.000 2.080
4.095 7.093 0.000
```

***

This record from Alexandria describes a geometry-optimized PmIn2GaI6 structure. The functional is GGA-PBE.

Values from the calculation:
formation energy without anion corrections = -0.808 eV per atom
theoretical density = 4339 kg/m³
DFT total energy = -3.06 eV/atom
crystal system = trigonal

Geometry as POSCAR:
```
PmIn2GaI6
1.0
4.251 2.454 7.370
-4.251 2.454 7.370
0.000 -4.909 7.370
Pm In Ga I
1 2 1 6
Cartesian
0.000 0.000 0.000
0.000 0.000 6.802
0.000 0.000 17.720
0.000 0.000 11.179
-0.932 -2.475 9.046
-2.807 -0.445 12.798
-1.678 2.045 9.046
1.790 -2.209 12.798
2.610 0.431 9.046
1.018 2.654 12.798
```

***

This record from Alexandria describes a geometry-optimized CaHoInHg structure. The functional is GGA-PBE.

Values from the calculation:
energy of formation = -47.37 kJ/mol of atoms
theoretical density = 8062 kg/m³
DFT total energy = -2.90 eV/atom
crystal system = cubic

Geometry as POSCAR:
```
CaHoInHg
1.0
0.000 3.770 3.770
3.770 0.000 3.770
3.770 3.770 0.000
Ca Ho In Hg
1 1 1 1
Cartesian
0.000 0.000 0.000
3.770 3.770 3.770
5.656 5.656 5.656
1.885 1.885 1.885
```